## Li5TaO5 (GGA-PBE)

Data for crystalline Li5TaO5 at its relaxed geometry.

Geometry as CIF:
```
data_Li5TaO5
_chemical_formula_sum 'Li10 Ta2 O10'
_symmetry_space_group_name_H-M 'P 1'
_symmetry_Int_Tables_number 1
_symmetry_space_group_name_Hall 'P 1'
_cell_length_a 5.482
_cell_length_b 5.482
_cell_length_c 9.099
_cell_angle_alpha 82.46
_cell_angle_beta 82.46
_cell_angle_gamma 116.89
loop_
_atom_site_label
_atom_site_type_symbol
_atom_site_fract_x
_atom_site_fract_y
_atom_site_fract_z
_atom_site_occupancy
Li1 Li 0.546 0.774 0.958 1
Li2 Li 0.701 0.049 0.561 1
Li3 Li 0.774 0.546 0.458 1
Li4 Li 0.049 0.701 0.061 1
Li5 Li 0.670 0.330 0.750 1
Li6 Li 0.330 0.670 0.250 1
Li7 Li 0.951 0.299 0.939 1
Li8 Li 0.226 0.454 0.542 1
Li9 Li 0.299 0.951 0.439 1
Li10 Li 0.454 0.226 0.042 1
Ta1 Ta 0.088 0.912 0.750 1
Ta2 Ta 0.912 0.088 0.250 1
O1 O 0.800 0.576 0.911 1
O2 O 0.328 0.989 0.893 1
O3 O 0.576 0.800 0.411 1
O4 O 0.887 0.113 0.750 1
O5 O 0.989 0.328 0.393 1
O6 O 0.011 0.672 0.607 1
O7 O 0.113 0.887 0.250 1
O8 O 0.424 0.200 0.589 1
O9 O 0.672 0.011 0.107 1
O10 O 0.200 0.424 0.089 1
```

Calculated values
The value obtained for the energy relative to the elements, uncorrected is -2.307 eV per atom. Its space group is C2/c, No. 15. As for the total magnetization: 0.000 μB/f.u.

---

## TeMo2 (GGA-PBE)

Data for crystalline TeMo2 at its relaxed geometry.

Geometry as CIF:
```
data_TeMo2
_chemical_formula_sum 'Te1 Mo2'
_symmetry_space_group_name_H-M 'P 1'
_symmetry_Int_Tables_number 1
_symmetry_space_group_name_Hall 'P 1'
_cell_length_a 4.795
_cell_length_b 4.795
_cell_length_c 4.795
_cell_angle_alpha 141.85
_cell_angle_beta 126.81
_cell_angle_gamma 67.32
loop_
_atom_site_label
_atom_site_type_symbol
_atom_site_fract_x
_atom_site_fract_y
_atom_site_fract_z
_atom_site_occupancy
Mo1 Mo 0.665 0.665 0.000 1
Mo2 Mo 0.335 0.335 0.000 1
Te1 Te 0.000 0.000 0.000 1
```

Calculated values
The value obtained for the energy relative to the elements, uncorrected is 0.463 eV per atom. Its space group is Immm, No. 71. As for the total magnetization: 0.000 μB/f.u.

---

## Pm4Dy4Y3 (GGA-PBE)

Data for crystalline Pm4Dy4Y3 at its relaxed geometry.

Geometry as CIF:
```
data_Pm4Dy4Y3
_chemical_formula_sum 'Pm4 Dy4 Y3'
_symmetry_space_group_name_H-M 'P 1'
_symmetry_Int_Tables_number 1
_symmetry_space_group_name_Hall 'P 1'
_cell_length_a 3.551
_cell_length_b 5.672
_cell_length_c 18.172
_cell_angle_alpha 81.04
_cell_angle_beta 84.38
_cell_angle_gamma 89.99
loop_
_atom_site_label
_atom_site_type_symbol
_atom_site_fract_x
_atom_site_fract_y
_atom_site_fract_z
_atom_site_occupancy
Pm1 Pm 0.591 0.091 0.819 1
Pm2 Pm 0.268 0.267 0.465 1
Pm3 Pm 0.732 0.733 0.535 1
Pm4 Pm 0.409 0.909 0.181 1
Dy1 Dy 0.546 0.546 0.909 1
Dy2 Dy 0.454 0.454 0.091 1
Dy3 Dy 0.319 0.819 0.361 1
Dy4 Dy 0.681 0.181 0.639 1
Y1 Y 0.136 0.636 0.728 1
Y2 Y 0.864 0.364 0.272 1
Y3 Y 0.000 0.000 0.000 1
```

Calculated values
The value obtained for the formation energy is 0.054 eV per atom. Its space group is P-1, No. 2. As for the total magnetization: 0.000 μB/f.u.

---

## Re2PtRh (GGA-PBE)

Data for crystalline Re2PtRh at its relaxed geometry.

Geometry as CIF:
```
data_Re2PtRh
_chemical_formula_sum 'Re2 Pt1 Rh1'
_symmetry_space_group_name_H-M 'P 1'
_symmetry_Int_Tables_number 1
_symmetry_space_group_name_Hall 'P 1'
_cell_length_a 4.417
_cell_length_b 4.417
_cell_length_c 4.417
_cell_angle_alpha 60.00
_cell_angle_beta 60.00
_cell_angle_gamma 60.00
loop_
_atom_site_label
_atom_site_type_symbol
_atom_site_fract_x
_atom_site_fract_y
_atom_site_fract_z
_atom_site_occupancy
Re1 Re 0.250 0.250 0.250 1
Re2 Re 0.750 0.750 0.750 1
Rh1 Rh 0.000 0.000 0.000 1
Pt1 Pt 0.500 0.500 0.500 1
```

Calculated values
The value obtained for the formation energy is 0.541 eV per atom. Its space group is Fm-3m, No. 225. As for the total magnetization: 0.000 μB/f.u.

---

## CsTlCl2 (GGA-PBE)

Data for crystalline CsTlCl2 at its relaxed geometry.

Geometry as CIF:
```
data_CsTlCl2
_chemical_formula_sum 'Cs1 Tl1 Cl2'
_symmetry_space_group_name_H-M 'P 1'
_symmetry_Int_Tables_number 1
_symmetry_space_group_name_Hall 'P 1'
_cell_length_a 9.963
_cell_length_b 9.963
_cell_length_c 9.963
_cell_angle_alpha 30.21
_cell_angle_beta 30.21
_cell_angle_gamma 30.21
loop_
_atom_site_label
_atom_site_type_symbol
_atom_site_fract_x
_atom_site_fract_y
_atom_site_fract_z
_atom_site_occupancy
Cs1 Cs 0.500 0.500 0.500 1
Tl1 Tl 0.000 0.000 0.000 1
Cl1 Cl 0.899 0.899 0.899 1
Cl2 Cl 0.101 0.101 0.101 1
```

Calculated values
The value obtained for the energy relative to the elements, uncorrected is -1.305 eV per atom. Its space group is R-3m, No. 166. As for the total magnetization: 0.000 μB/f.u.

---

## InMoRh4 (GGA-PBE)

Data for crystalline InMoRh4 at its relaxed geometry.

Geometry as CIF:
```
data_InMoRh4
_chemical_formula_sum 'In1 Mo1 Rh4'
_symmetry_space_group_name_H-M 'P 1'
_symmetry_Int_Tables_number 1
_symmetry_space_group_name_Hall 'P 1'
_cell_length_a 5.138
_cell_length_b 5.138
_cell_length_c 5.138
_cell_angle_alpha 60.00
_cell_angle_beta 60.00
_cell_angle_gamma 60.00
loop_
_atom_site_label
_atom_site_type_symbol
_atom_site_fract_x
_atom_site_fract_y
_atom_site_fract_z
_atom_site_occupancy
In1 In 0.750 0.750 0.750 1
Mo1 Mo 0.000 0.000 0.000 1
Rh1 Rh 0.875 0.375 0.375 1
Rh2 Rh 0.375 0.375 0.875 1
Rh3 Rh 0.375 0.875 0.375 1
Rh4 Rh 0.375 0.375 0.375 1
```

Calculated values
The value obtained for the formation energy is 0.130 eV per atom. Its space group is F-43m, No. 216. As for the total magnetization: 0.001 μB/f.u.

---

## ErTm9Sc2 (GGA-PBE)

Data for crystalline ErTm9Sc2 at its relaxed geometry.

Geometry as CIF:
```
data_ErTm9Sc2
_chemical_formula_sum 'Er1 Tm9 Sc2'
_symmetry_space_group_name_H-M 'P 1'
_symmetry_Int_Tables_number 1
_symmetry_space_group_name_Hall 'P 1'
_cell_length_a 3.413
_cell_length_b 10.892
_cell_length_c 10.892
_cell_angle_alpha 120.00
_cell_angle_beta 90.00
_cell_angle_gamma 90.00
loop_
_atom_site_label
_atom_site_type_symbol
_atom_site_fract_x
_atom_site_fract_y
_atom_site_fract_z
_atom_site_occupancy
Er1 Er 0.000 0.000 0.000 1
Tm1 Tm 0.000 0.000 0.500 1
Tm2 Tm 0.000 0.500 0.500 1
Tm3 Tm 0.000 0.500 0.000 1
Tm4 Tm 0.500 0.358 0.179 1
Tm5 Tm 0.500 0.179 0.821 1
Tm6 Tm 0.500 0.179 0.358 1
Tm7 Tm 0.500 0.821 0.642 1
Tm8 Tm 0.500 0.821 0.179 1
Tm9 Tm 0.500 0.642 0.821 1
Sc1 Sc 0.000 0.333 0.667 1
Sc2 Sc 0.000 0.667 0.333 1
```

Calculated values
The value obtained for the formation energy is 0.051 eV per atom. Its space group is P6/mmm, No. 191. As for the total magnetization: 0.001 μB/f.u.

---

## La2InAs3Ir4 (GGA-PBE)

Data for crystalline La2InAs3Ir4 at its relaxed geometry.

Geometry as CIF:
```
data_La2InAs3Ir4
_chemical_formula_sum 'La2 In1 As3 Ir4'
_symmetry_space_group_name_H-M 'P 1'
_symmetry_Int_Tables_number 1
_symmetry_space_group_name_Hall 'P 1'
_cell_length_a 4.205
_cell_length_b 4.205
_cell_length_c 11.113
_cell_angle_alpha 90.00
_cell_angle_beta 90.00
_cell_angle_gamma 90.00
loop_
_atom_site_label
_atom_site_type_symbol
_atom_site_fract_x
_atom_site_fract_y
_atom_site_fract_z
_atom_site_occupancy
La1 La 0.500 0.000 0.243 1
La2 La 0.000 0.500 0.757 1
In1 In 0.500 0.500 0.500 1
As1 As 0.000 0.000 0.500 1
As2 As 0.500 0.000 0.872 1
As3 As 0.000 0.500 0.128 1
Ir1 Ir 0.500 0.500 0.000 1
Ir2 Ir 0.000 0.000 0.000 1
Ir3 Ir 0.500 0.000 0.655 1
Ir4 Ir 0.000 0.500 0.345 1
```

Calculated values
The value obtained for the formation energy is -0.694 eV per atom. Its space group is P-4m2, No. 115. As for the total magnetization: 0.000 μB/f.u.